4
Lattice="8.263 0.063 -0.532 7.585 3.280 -0.532 0.024 0.005 3.797" Properties=species:S:1:pos:R:3 comment="Zn2HgCl, relaxed, DFT GGA-PBE" e_form_raw_ev_per_atom=-0.19 n_ef_per_ev_cell=0.41 volume_a3_per_atom=25.3 sg="Cm, No. 8" pbc="T T T"
Zn 4.967 1.048 0.079
Cl 8.379 1.767 1.377
Zn 14.775 3.117 0.087
Hg 11.535 2.433 1.495